Record 1
Computed, not measured: a relaxed CuSi2NiPt crystal at the PBE level of DFT.

Cell lengths 4.129, 4.129, 4.906 Å; angles 90.00, 90.00, 90.00 degrees
Sites, in units of the cell vectors:
Cu: 0.000 0.000 0.000
Si: 0.000 0.500 0.500
Si: 0.500 0.000 0.500
Ni: 0.500 0.500 0.500
Pt: 0.500 0.500 0.000

Output
- Total DFT energy (no corrections): -24.4 eV for the cell shown

Record 2
Computed, not measured: a relaxed LaU2CrN4 crystal at the PBE level of DFT.

Cell lengths 6.085, 6.085, 11.366 Å; angles 90.00, 90.00, 147.51 degrees
Sites, in units of the cell vectors:
La: 0.097 0.903 0.750
La: 0.903 0.097 0.250
U: 0.368 0.632 0.554
U: 0.368 0.632 0.946
U: 0.632 0.368 0.054
U: 0.632 0.368 0.446
Cr: 0.164 0.836 0.250
Cr: 0.836 0.164 0.750
N: 0.000 0.000 0.000
N: 0.000 0.000 0.500
N: 0.264 0.736 0.114
N: 0.264 0.736 0.386
N: 0.433 0.567 0.750
N: 0.567 0.433 0.250
N: 0.736 0.264 0.614
N: 0.736 0.264 0.886

Output
- Total DFT energy (no corrections): -159.9 eV for the cell shown

Record 3
Computed, not measured: a relaxed SrSc4H2 crystal at the PBE level of DFT.

Cell lengths 5.049, 5.049, 11.362 Å; angles 90.00, 90.00, 90.00 degrees
Sites, in units of the cell vectors:
Sr: 0.000 0.000 0.000
Sr: 0.500 0.500 0.500
Sc: 0.000 0.000 0.270
Sc: 0.000 0.000 0.730
Sc: 0.000 0.500 0.000
Sc: 0.000 0.500 0.500
Sc: 0.500 0.000 0.000
Sc: 0.500 0.000 0.500
Sc: 0.500 0.500 0.230
Sc: 0.500 0.500 0.770
H: 0.000 0.000 0.433
H: 0.000 0.000 0.567
H: 0.500 0.500 0.067
H: 0.500 0.500 0.933

Output
- Total DFT energy (no corrections): -56.4 eV for the cell shown

Record 4
Computed, not measured: a relaxed LiAg2Se2O6 crystal at the PBE level of DFT.

Cell lengths 6.113, 6.113, 8.000 Å; angles 126.51, 126.51, 53.19 degrees
Sites, in units of the cell vectors:
Li: 0.000 0.000 0.000
Ag: 0.370 0.370 0.187
Ag: 0.630 0.630 0.813
Se: 0.248 0.248 0.681
Se: 0.752 0.752 0.319
O: 0.080 0.559 0.872
O: 0.365 0.365 0.611
O: 0.441 0.920 0.128
O: 0.559 0.080 0.872
O: 0.635 0.635 0.389
O: 0.920 0.441 0.128

Output
- Total DFT energy (no corrections): -52.2 eV for the cell shown

Record 5
Computed, not measured: a relaxed BiSb2TeS crystal at the PBE level of DFT.

Cell lengths 5.303, 5.303, 5.215 Å; angles 90.00, 90.00, 90.00 degrees
Sites, in units of the cell vectors:
Bi: 0.000 0.000 0.000
Sb: 0.000 0.500 0.500
Sb: 0.500 0.000 0.500
Te: 0.500 0.500 0.000
S: 0.500 0.500 0.500

Output
- Polymorph energy (0 for the lowest one): 0 meV/atom

Record 6
Computed, not measured: a relaxed Pr2Ho4In5 crystal at the PBE level of DFT.

Cell lengths 11.571, 10.764, 6.196 Å; angles 81.22, 66.83, 31.95 degrees
Sites, in units of the cell vectors:
Pr: 0.110 0.110 0.890
Pr: 0.890 0.890 0.110
Ho: 0.204 0.541 0.459
Ho: 0.459 0.796 0.204
Ho: 0.541 0.204 0.796
Ho: 0.796 0.459 0.541
In: 0.000 0.000 0.500
In: 0.250 0.250 0.250
In: 0.500 0.500 0.000
In: 0.500 0.500 0.500
In: 0.750 0.750 0.750

Output
- Formation enthalpy at 0 K: -160 meV/atom

Record 7
Computed, not measured: a relaxed RbNb3Te crystal at the PBE level of DFT.

Cell lengths 4.895, 4.895, 4.895 Å; angles 90.00, 90.00, 90.00 degrees
Sites, in units of the cell vectors:
Rb: 0.000 0.000 0.000
Nb: 0.000 0.000 0.500
Nb: 0.000 0.500 0.000
Nb: 0.500 0.000 0.000
Te: 0.500 0.500 0.500

Output
- Polymorph energy (0 for the lowest one): 1047 meV/atom

Record 8
Computed, not measured: a relaxed K2LiAg crystal at the PBE level of DFT.

Cell lengths 4.214, 4.227, 8.742 Å; angles 90.00, 90.11, 90.00 degrees
Sites, in units of the cell vectors:
K: 0.001 0.000 0.222
K: 0.999 0.000 0.778
Li: 0.500 0.500 0.500
Ag: 0.500 0.500 0.000

Output
- Formation enthalpy at 0 K: 124 meV/atom
- Polymorph energy (0 for the lowest one): 83 meV/atom

Record 9
Computed, not measured: a relaxed TlSb2Cl crystal at the PBE level of DFT.

Cell lengths 7.465, 7.465, 7.465 Å; angles 90.00, 90.00, 90.00 degrees
Sites, in units of the cell vectors:
Tl: 0.000 0.000 0.000
Tl: 0.000 0.500 0.500
Tl: 0.500 0.000 0.500
Tl: 0.500 0.500 0.000
Sb: 0.250 0.250 0.250
Sb: 0.250 0.250 0.750
Sb: 0.250 0.750 0.250
Sb: 0.250 0.750 0.750
Sb: 0.750 0.250 0.250
Sb: 0.750 0.250 0.750
Sb: 0.750 0.750 0.250
Sb: 0.750 0.750 0.750
Cl: 0.000 0.000 0.500
Cl: 0.000 0.500 0.000
Cl: 0.500 0.000 0.000
Cl: 0.500 0.500 0.500

Output
- Polymorph energy (0 for the lowest one): 504 meV/atom

Record 10
Computed, not measured: a relaxed Cd5As2Pd12 crystal at the PBE level of DFT.

Cell lengths 7.721, 7.721, 5.782 Å; angles 92.95, 92.95, 69.20 degrees
Sites, in units of the cell vectors:
Cd: 0.000 0.000 0.000
Cd: 0.241 0.241 0.044
Cd: 0.313 0.313 0.579
Cd: 0.687 0.687 0.421
Cd: 0.759 0.759 0.956
As: 0.251 0.749 0.500
As: 0.749 0.251 0.500
Pd: 0.061 0.576 0.297
Pd: 0.103 0.103 0.425
Pd: 0.169 0.630 0.868
Pd: 0.370 0.831 0.132
Pd: 0.424 0.939 0.703
Pd: 0.460 0.460 0.236
Pd: 0.540 0.540 0.764
Pd: 0.576 0.061 0.297
Pd: 0.630 0.169 0.868
Pd: 0.831 0.370 0.132
Pd: 0.897 0.897 0.575
Pd: 0.939 0.424 0.703

Output
- Formation enthalpy at 0 K: -312 meV/atom

Record 11
Computed, not measured: a relaxed Tb6PmTm2Sc3 crystal at the PBE level of DFT.

Cell lengths 6.050, 6.050, 11.460 Å; angles 95.04, 95.04, 119.97 degrees
Sites, in units of the cell vectors:
Tb: 0.086 0.420 0.759
Tb: 0.247 0.247 0.241
Tb: 0.420 0.086 0.759
Tb: 0.580 0.914 0.241
Tb: 0.753 0.753 0.759
Tb: 0.914 0.580 0.241
Pm: 0.000 0.000 0.500
Tm: 0.333 0.667 0.500
Tm: 0.667 0.333 0.500
Sc: 0.167 0.833 0.000
Sc: 0.500 0.500 0.000
Sc: 0.833 0.167 0.000

Output
- Formation enthalpy at 0 K: 44 meV/atom

Record 12
Computed, not measured: a relaxed Sr2MnZnH crystal at the PBE level of DFT.

Cell lengths 5.231, 5.231, 4.091 Å; angles 90.00, 90.00, 90.00 degrees
Sites, in units of the cell vectors:
Sr: 0.000 0.500 0.000
Sr: 0.500 0.000 0.000
Mn: 0.000 0.000 0.500
Zn: 0.500 0.500 0.500
H: 0.500 0.500 0.000

Output
- Total DFT energy (no corrections): -16.5 eV for the cell shown